Cs4NdHo3Se8: relaxed, PBE.

CIF file:
```
data_Cs4NdHo3Se8
_chemical_formula_sum 'Cs12 Nd3 Ho9 Se24'
_cell_length_a 8.5785
_cell_length_b 8.5785
_cell_length_c 25.1428
_cell_angle_alpha 90.00
_cell_angle_beta 90.00
_cell_angle_gamma 120.00
_symmetry_space_group_name_H-M 'R -3 m'
_symmetry_Int_Tables_number 166
_symmetry_space_group_name_Hall '-R 3 2"'
loop_
_atom_site_label
_atom_site_fract_x
_atom_site_fract_y
_atom_site_fract_z
Cs1 0.0000 0.0000 0.0000
Cs2 0.0000 0.5000 0.0000
Nd1 0.0000 0.0000 0.5000
Ho1 0.0000 0.5000 0.5000
Se1 0.0000 0.0000 0.2280
Se2 0.0080 0.5040 0.7711
```

## Properties
- Raw total energy: -4.833 eV/atom
- Raw formation energy: -166 kJ/mol of atoms